(1)
A plane-wave DFT calculation with meta-GGA SCAN was carried out for a crystal of GaAgSeS relaxed with PBEsol.

## Properties
- Crystal system: monoclinic
- E_tot: -79.6 eV/f.u.
- Density: 5.34 g/cm3
- V: 22.426 Å³/atom
- Formation energy without anion corrections: -536 meV/atom

a b c (Å): 5.779 5.779 6.702
angles (deg): 114.99 114.99 90.13
Sites, in units of the cell vectors:
S (0.157, 0.365, 0.244)
S (0.365, 0.157, 0.744)
Ga (0.491, 0.249, 0.499)
Ga (0.249, 0.491, 0.999)
Se (0.607, 0.870, 0.255)
Se (0.870, 0.607, 0.755)
Ag (0.031, 0.740, 0.502)
Ag (0.740, 0.031, 0.002)

***

(2)
A plane-wave DFT calculation with meta-GGA SCAN was carried out for a crystal of MgW2Br relaxed with PBEsol.

## Properties
- Crystal system: monoclinic
- E_tot: -160.3 eV/f.u.
- Density: 11.39 g/cm3
- V: 17.193 Å³/atom
- Formation energy without anion corrections: 879 meV/atom

a b c (Å): 3.021 4.586 5.253
angles (deg): 98.97 106.71 90.00
Sites, in units of the cell vectors:
Br (0.000, 0.500, 0.000)
Mg (0.500, 0.000, 0.000)
W (0.253, 0.241, 0.507)
W (0.747, 0.759, 0.493)

***

(3)
A plane-wave DFT calculation with meta-GGA SCAN was carried out for a crystal of Na3TiFe3O8 relaxed with PBEsol.

## Properties
- Crystal system: monoclinic
- E_tot: -163.7 eV/f.u.
- Density: 4.53 g/cm3
- V: 10.083 Å³/atom
- Formation energy without anion corrections: -2050 meV/atom

a b c (Å): 4.872 5.673 5.733
angles (deg): 90.00 90.00 107.38
Last column: magnetic moment on the atom in μB.
Sites, in units of the cell vectors:
Na (0.000, 0.000, 0.762)  0.00
Na (0.500, 0.000, 0.500)  0.00
Na (0.000, 0.000, 0.238)  0.00
Ti (0.000, 0.500, 0.000)  -0.07
Fe (0.500, 0.500, 0.251)  0.96
Fe (0.500, 0.500, 0.749)  0.96
Fe (0.000, 0.500, 0.500)  0.98
O (0.268, 0.312, 0.500)  0.01
O (0.766, 0.307, 0.257)  0.02
O (0.277, 0.308, 0.000)  0.02
O (0.766, 0.307, 0.743)  0.02
O (0.723, 0.692, 0.000)  0.02
O (0.234, 0.693, 0.743)  0.02
O (0.732, 0.688, 0.500)  0.01
O (0.234, 0.693, 0.257)  0.02